Record 1
A plane-wave DFT calculation with PBEsol was carried out for crystalline TcIr2Pt at its relaxed geometry.

Calculated total energy (eV per formula unit): -38.42
DOS(E_F) (states/eV per atom): 0.96
Energy above the lowest structure with this stoichiometry (eV per atom): 0.0000
ρ (Mg/m³): 19.8

Structure (POSCAR):
```
TcIr2Pt
1.0
2.713 0.000 0.000
0.000 2.713 0.000
0.000 0.000 7.725
Tc Ir Pt
1 2 1
direct
0.000 0.000 0.000
0.500 0.500 0.239
0.500 0.500 0.761
0.000 0.000 0.500
```

---

Record 2
A plane-wave DFT calculation with PBEsol was carried out for crystalline Sr2ReAsRu at its relaxed geometry.

Calculated total energy (eV per formula unit): -26.37
DOS(E_F) (states/eV per atom): 1.87
ρ (Mg/m³): 5.9

Structure (POSCAR):
```
Sr2ReAsRu
1.0
5.733 0.000 0.000
0.000 5.733 0.000
0.000 0.000 4.606
Sr Re As Ru
2 1 1 1
direct
0.000 0.500 0.000
0.500 0.000 0.000
0.000 0.000 0.000
0.000 0.000 0.500
0.500 0.500 0.500
```

---

Record 3
A plane-wave DFT calculation with PBEsol was carried out for crystalline LiRuW2 at its relaxed geometry.

Calculated total energy (eV per formula unit): -38.51
DOS(E_F) (states/eV per atom): 0.98
ρ (Mg/m³): 13.8

Structure (POSCAR):
```
LiRuW2
1.0
-1.515 2.145 4.404
1.515 -2.145 4.404
1.515 2.145 -4.404
Li Ru W
1 1 2
direct
0.000 0.000 0.000
0.500 0.500 0.000
0.261 0.761 0.500
0.739 0.239 0.500
```

---

Record 4
A plane-wave DFT calculation with PBEsol was carried out for crystalline LaAl2Re at its relaxed geometry.

Calculated total energy (eV per formula unit): -26.37
DOS(E_F) (states/eV per atom): 0.72
Energy above the lowest structure with this stoichiometry (eV per atom): 0.0000
ρ (Mg/m³): 8.4

Structure (POSCAR):
```
LaAl2Re
1.0
1.500 0.866 9.636
-1.500 0.866 9.636
0.000 -1.732 9.636
La Al Re
1 2 1
direct
0.000 0.000 0.000
0.235 0.235 0.235
0.765 0.765 0.765
0.500 0.500 0.500
```

---

Record 5
A plane-wave DFT calculation with PBEsol was carried out for crystalline Li2BeCd2 at its relaxed geometry.

Calculated total energy (eV per formula unit): -9.76
DOS(E_F) (states/eV per atom): 0.30
ρ (Mg/m³): 4.8

Structure (POSCAR):
```
Li2BeCd2
1.0
6.674 0.000 0.000
0.000 6.674 0.000
0.000 0.000 3.824
Li Be Cd
4 2 4
direct
0.157 0.343 0.000
0.343 0.843 0.000
0.657 0.157 0.000
0.843 0.657 0.000
0.000 0.000 0.500
0.500 0.500 0.500
0.154 0.654 0.500
0.346 0.154 0.500
0.654 0.846 0.500
0.846 0.346 0.500
```

---

Record 6
A plane-wave DFT calculation with PBEsol was carried out for crystalline YSbW3 at its relaxed geometry.

Calculated total energy (eV per formula unit): -38.05
DOS(E_F) (states/eV per atom): 1.28
Raw formation energy (eV/atom): 2.9505
ρ (Mg/m³): 11.4

Structure (POSCAR):
```
YSbW3
1.0
4.810 0.000 0.000
0.000 4.810 0.000
0.000 0.000 4.810
Y Sb W
1 1 3
direct
0.000 0.000 0.000
0.500 0.500 0.500
0.000 0.000 0.500
0.000 0.500 0.000
0.500 0.000 0.000
```

---

Record 7
A plane-wave DFT calculation with PBEsol was carried out for crystalline La2Cu2O5 at its relaxed geometry.

Calculated total energy (eV per formula unit): -65.13
DOS(E_F) (states/eV per atom): 0.39
Raw formation energy (eV/atom): -2.1695
Energy above the lowest structure with this stoichiometry (eV per atom): 0.0160
ρ (Mg/m³): 6.8

Structure (POSCAR):
```
La2Cu2O5
1.0
6.563 0.000 0.000
0.000 6.563 0.000
0.000 0.000 5.522
La Cu O
4 4 10
direct
0.110 0.268 0.000
0.268 0.890 0.500
0.732 0.110 0.500
0.890 0.732 0.000
0.314 0.411 0.500
0.411 0.686 0.000
0.589 0.314 0.000
0.686 0.589 0.500
0.000 0.000 0.250
0.000 0.000 0.750
0.214 0.592 0.241
0.214 0.592 0.759
0.408 0.214 0.259
0.408 0.214 0.741
0.592 0.786 0.259
0.592 0.786 0.741
0.786 0.408 0.241
0.786 0.408 0.759
```

---

Record 8
A plane-wave DFT calculation with PBEsol was carried out for crystalline BH2RhAu at its relaxed geometry.

Calculated total energy (eV per formula unit): -20.12
DOS(E_F) (states/eV per atom): 0.85
ρ (Mg/m³): 9.7

Structure (POSCAR):
```
BH2RhAu
1.0
3.589 0.000 0.000
0.000 3.589 0.000
0.000 0.000 4.160
B H Rh Au
1 2 1 1
direct
0.000 0.000 0.000
0.000 0.500 0.000
0.500 0.000 0.000
0.500 0.500 0.500
0.000 0.000 0.500
```